## SmY7Ho3 (PBE-GGA)

Data for crystalline SmY7Ho3 at its relaxed geometry.

The structure in POSCAR format:
```
SmY7Ho3
1.0
7.087 0.000 0.000
-3.544 6.138 0.000
0.000 0.000 8.603
Sm Y Ho
1 7 3
Direct
0.000 0.000 0.000 Sm
0.165 0.331 0.333 Y
0.165 0.835 0.333 Y
0.501 0.002 0.998 Y
0.501 0.499 0.998 Y
0.667 0.333 0.331 Y
0.669 0.835 0.333 Y
0.998 0.499 0.998 Y
0.333 0.167 0.665 Ho
0.833 0.167 0.665 Ho
0.833 0.667 0.665 Ho
```

Output
space-group type	P3m1
calculated volume	374.19	Å³ per cell
formation enthalpy at 0 K	0.201	eV per atom
calculated total energy	-61.486	eV/cell
total magnetization	0.0	μB/cell